Density functional theory data (PBE) for a relaxed Pm3Sc2Pb3 crystal.

CIF file:
```
data_Pm3Sc2Pb3
_space_group_name_H-M_alt 'P 1'
_space_group_IT_number 1
_cell_length_a 11.2983
_cell_length_b 11.2983
_cell_length_c 11.2983
_cell_angle_alpha 157.86
_cell_angle_beta 155.15
_cell_angle_gamma 33.52
loop_
_space_group_symop_operation_xyz
'x,y,z'
loop_
_atom_site_label
_atom_site_type_symbol
_atom_site_fract_x
_atom_site_fract_y
_atom_site_fract_z
Pm1 Pm 0.0000 0.0000 0.0000
Pm2 Pm 0.3761 0.8761 0.5000
Pm3 Pm 0.6239 0.1239 0.5000
Sc1 Sc 0.2511 0.2511 0.0000
Sc2 Sc 0.7489 0.7489 0.0000
Pb1 Pb 0.1483 0.6483 0.5000
Pb2 Pb 0.5000 0.5000 0.0000
Pb3 Pb 0.8517 0.3517 0.5000
```

Computed properties:
Energy above the lowest structure with this stoichiometry   0.814 eV per formula unit
SG   No. 71
Total moment   0.000 μB/atom
Theoretical density   8.3 g/cm³


Density functional theory data (PBE) for a relaxed Li3HgPd crystal.

CIF file:
```
data_Li3HgPd
_space_group_name_H-M_alt 'P 1'
_space_group_IT_number 1
_cell_length_a 4.0787
_cell_length_b 4.7934
_cell_length_c 9.0637
_cell_angle_alpha 90.52
_cell_angle_beta 90.17
_cell_angle_gamma 115.14
loop_
_space_group_symop_operation_xyz
'x,y,z'
loop_
_atom_site_label
_atom_site_type_symbol
_atom_site_fract_x
_atom_site_fract_y
_atom_site_fract_z
Li1 Li 0.1399 0.2788 0.0485
Li2 Li 0.2539 0.5083 0.7704
Li3 Li 0.3559 0.7119 0.4389
Li4 Li 0.6441 0.2881 0.5611
Li5 Li 0.7461 0.4917 0.2296
Li6 Li 0.8601 0.7212 0.9515
Hg1 Hg 0.0557 0.1094 0.3402
Hg2 Hg 0.9443 0.8906 0.6598
Pd1 Pd 0.4407 0.8803 0.1418
Pd2 Pd 0.5593 0.1197 0.8582
```

Computed properties:
Energy above the lowest structure with this stoichiometry   0.000 eV per formula unit
SG   No. 2
Total moment   0.000 μB/atom
Theoretical density   6.8 g/cm³


Density functional theory data (PBE) for a relaxed LaSm4Dy2Ho crystal.

CIF file:
```
data_LaSm4Dy2Ho
_space_group_name_H-M_alt 'P 1'
_space_group_IT_number 1
_cell_length_a 6.2292
_cell_length_b 3.6203
_cell_length_c 11.9811
_cell_angle_alpha 90.00
_cell_angle_beta 100.17
_cell_angle_gamma 90.00
loop_
_space_group_symop_operation_xyz
'x,y,z'
loop_
_atom_site_label
_atom_site_type_symbol
_atom_site_fract_x
_atom_site_fract_y
_atom_site_fract_z
La1 La 0.0000 0.0000 0.0000
Sm1 Sm 0.2503 0.5000 0.2543
Sm2 Sm 0.2506 0.0000 0.7475
Sm3 Sm 0.7494 0.0000 0.2525
Sm4 Sm 0.7497 0.5000 0.7457
Dy1 Dy 0.5000 0.0000 0.5000
Dy2 Dy 0.5000 0.5000 0.0000
Ho1 Ho 0.0000 0.5000 0.5000
```

Computed properties:
SG   No. 10
Total moment   0.000 μB/atom
E   -4.6781 eV/atom
Theoretical density   7.7 g/cm³


Density functional theory data (PBE) for a relaxed LaSn3Hg crystal.

CIF file:
```
data_LaSn3Hg
_space_group_name_H-M_alt 'P 1'
_space_group_IT_number 1
_cell_length_a 6.1100
_cell_length_b 6.1100
_cell_length_c 6.1100
_cell_angle_alpha 90.00
_cell_angle_beta 90.00
_cell_angle_gamma 90.00
loop_
_space_group_symop_operation_xyz
'x,y,z'
loop_
_atom_site_label
_atom_site_type_symbol
_atom_site_fract_x
_atom_site_fract_y
_atom_site_fract_z
La1 La 0.0000 0.0000 0.0000
Sn1 Sn 0.0000 0.0000 0.5000
Sn2 Sn 0.0000 0.5000 0.0000
Sn3 Sn 0.5000 0.0000 0.0000
Hg1 Hg 0.5000 0.5000 0.5000
```

Computed properties:
Energy above the lowest structure with this stoichiometry   3.145 eV per formula unit
SG   No. 221
Total moment   0.000 μB/atom
Theoretical density   5.1 g/cm³


Density functional theory data (PBE) for a relaxed Ba2PdPt crystal.

CIF file:
```
data_Ba2PdPt
_space_group_name_H-M_alt 'P 1'
_space_group_IT_number 1
_cell_length_a 7.1081
_cell_length_b 7.1081
_cell_length_c 7.1081
_cell_angle_alpha 109.08
_cell_angle_beta 109.08
_cell_angle_gamma 110.25
loop_
_space_group_symop_operation_xyz
'x,y,z'
loop_
_atom_site_label
_atom_site_type_symbol
_atom_site_fract_x
_atom_site_fract_y
_atom_site_fract_z
Ba1 Ba 0.1204 0.1250 0.4954
Ba2 Ba 0.3750 0.8796 0.0046
Ba3 Ba 0.6296 0.6250 0.5046
Ba4 Ba 0.8750 0.3704 0.9954
Pd1 Pd 0.2500 0.7500 0.5000
Pd2 Pd 0.5000 0.5000 0.0000
Pt1 Pt 0.0000 0.0000 0.0000
Pt2 Pt 0.7500 0.2500 0.5000
```

Computed properties:
SG   No. 122
Total moment   0.000 μB/atom
E   -4.1019 eV/atom
Theoretical density   6.9 g/cm³


Density functional theory data (PBE) for a relaxed YP2Au crystal.

CIF file:
```
data_YP2Au
_space_group_name_H-M_alt 'P 1'
_space_group_IT_number 1
_cell_length_a 3.9119
_cell_length_b 4.8446
_cell_length_c 4.4300
_cell_angle_alpha 90.00
_cell_angle_beta 91.85
_cell_angle_gamma 90.00
loop_
_space_group_symop_operation_xyz
'x,y,z'
loop_
_atom_site_label
_atom_site_type_symbol
_atom_site_fract_x
_atom_site_fract_y
_atom_site_fract_z
Y1 Y 0.0000 0.0000 0.0000
P1 P 0.5224 0.0000 0.4644
P2 P 0.6404 0.5000 0.1952
Au1 Au 0.4261 0.5000 0.6950
```

Computed properties:
Energy above the lowest structure with this stoichiometry   0.846 eV per formula unit
SG   No. 6
Total moment   0.000 μB/atom
Theoretical density   6.9 g/cm³


Density functional theory data (PBE) for a relaxed Li2FeAu crystal.

CIF file:
```
data_Li2FeAu
_space_group_name_H-M_alt 'P 1'
_space_group_IT_number 1
_cell_length_a 5.1424
_cell_length_b 5.1424
_cell_length_c 5.1424
_cell_angle_alpha 145.08
_cell_angle_beta 130.32
_cell_angle_gamma 62.16
loop_
_space_group_symop_operation_xyz
'x,y,z'
loop_
_atom_site_label
_atom_site_type_symbol
_atom_site_fract_x
_atom_site_fract_y
_atom_site_fract_z
Li1 Li 0.2491 0.2491 0.0000
Li2 Li 0.7509 0.7509 0.0000
Fe1 Fe 0.5000 0.0000 0.5000
Au1 Au 0.0000 0.5000 0.5000
```

Computed properties:
SG   No. 71
Total moment   0.668 μB/atom
E   -3.9127 eV/atom
Theoretical density   7.5 g/cm³


Density functional theory data (PBE) for a relaxed PmNdYTm crystal.

CIF file:
```
data_PmNdYTm
_space_group_name_H-M_alt 'P 1'
_space_group_IT_number 1
_cell_length_a 5.7362
_cell_length_b 5.7362
_cell_length_c 5.7362
_cell_angle_alpha 60.00
_cell_angle_beta 60.00
_cell_angle_gamma 60.00
loop_
_space_group_symop_operation_xyz
'x,y,z'
loop_
_atom_site_label
_atom_site_type_symbol
_atom_site_fract_x
_atom_site_fract_y
_atom_site_fract_z
Pm1 Pm 0.0000 0.0000 0.0000
Nd1 Nd 0.7500 0.7500 0.7500
Y1 Y 0.2500 0.2500 0.2500
Tm1 Tm 0.5000 0.5000 0.5000
```

Computed properties:
Energy above the lowest structure with this stoichiometry   0.071 eV per formula unit
SG   No. 216
Total moment   0.014 μB/atom
Theoretical density   6.8 g/cm³


Density functional theory data (PBE) for a relaxed Sm6TlSb3 crystal.

CIF file:
```
data_Sm6TlSb3
_space_group_name_H-M_alt 'P 1'
_space_group_IT_number 1
_cell_length_a 8.3680
_cell_length_b 8.3680
_cell_length_c 8.5936
_cell_angle_alpha 90.00
_cell_angle_beta 90.00
_cell_angle_gamma 88.76
loop_
_space_group_symop_operation_xyz
'x,y,z'
loop_
_atom_site_label
_atom_site_type_symbol
_atom_site_fract_x
_atom_site_fract_y
_atom_site_fract_z
Sm1 Sm 0.0029 0.4970 0.2500
Sm2 Sm 0.1592 0.8408 0.5024
Sm3 Sm 0.1592 0.8408 0.9976
Sm4 Sm 0.3381 0.3381 0.0000
Sm5 Sm 0.3381 0.3381 0.5000
Sm6 Sm 0.4970 0.0029 0.7500
Sm7 Sm 0.5030 0.9971 0.2500
Sm8 Sm 0.6619 0.6619 0.0000
Sm9 Sm 0.6619 0.6619 0.5000
Sm10 Sm 0.8408 0.1592 0.0024
Sm11 Sm 0.8408 0.1592 0.4976
Sm12 Sm 0.9971 0.5030 0.7500
Tl1 Tl 0.3546 0.6454 0.2500
Tl2 Tl 0.6454 0.3546 0.7500
Sb1 Sb 0.1406 0.1468 0.7500
Sb2 Sb 0.1468 0.1406 0.2500
Sb3 Sb 0.3621 0.6379 0.7500
Sb4 Sb 0.6379 0.3621 0.2500
Sb5 Sb 0.8532 0.8594 0.7500
Sb6 Sb 0.8594 0.8532 0.2500
```

Computed properties:
SG   No. 63
Total moment   0.000 μB/atom
Formation energy without anion corrections   -0.811 eV/atom
Theoretical density   8.1 g/cm³


Density functional theory data (PBE) for a relaxed Dy7Bi2Ru2 crystal.

CIF file:
```
data_Dy7Bi2Ru2
_space_group_name_H-M_alt 'P 1'
_space_group_IT_number 1
_cell_length_a 6.8135
_cell_length_b 6.8135
_cell_length_c 7.3284
_cell_angle_alpha 90.00
_cell_angle_beta 90.00
_cell_angle_gamma 100.15
loop_
_space_group_symop_operation_xyz
'x,y,z'
loop_
_atom_site_label
_atom_site_type_symbol
_atom_site_fract_x
_atom_site_fract_y
_atom_site_fract_z
Dy1 Dy 0.0000 0.0000 0.0000
Dy2 Dy 0.0000 0.5000 0.2344
Dy3 Dy 0.0000 0.5000 0.7656
Dy4 Dy 0.5000 0.0000 0.2344
Dy5 Dy 0.5000 0.0000 0.7656
Dy6 Dy 0.5000 0.5000 0.2239
Dy7 Dy 0.5000 0.5000 0.7761
Bi1 Bi 0.2090 0.2090 0.5000
Bi2 Bi 0.7910 0.7910 0.5000
Ru1 Ru 0.2782 0.7218 0.0000
Ru2 Ru 0.7218 0.2782 0.0000
```

Computed properties:
Energy above the lowest structure with this stoichiometry   1.227 eV per formula unit
SG   No. 65
Total moment   0.000 μB/atom
Theoretical density   8.7 g/cm³